A relaxed Zr2CuPd9 crystal. Source: Alexandria, functional PBE.

Summary:
The calculation puts the density at 10.450 g/cm³. The space group is No. 123. The value obtained for the total energy is -6.2312 eV per atom.

Structure (CIF):
```
data_Zr2CuPd9
_chemical_formula_sum 'Zr2 Cu1 Pd9'
_symmetry_space_group_name_H-M 'P 1'
_symmetry_Int_Tables_number 1
_cell_length_a 4.021
_cell_length_b 4.021
_cell_length_c 11.830
_cell_angle_alpha 90.00
_cell_angle_beta 90.00
_cell_angle_gamma 90.00
loop_
_symmetry_equiv_pos_as_xyz
'x,y,z'
loop_
_atom_site_label
_atom_site_type_symbol
_atom_site_fract_x
_atom_site_fract_y
_atom_site_fract_z
_atom_site_occupancy
Zr1 Zr 0.000 0.000 0.324 1
Zr2 Zr 0.000 0.000 0.676 1
Cu1 Cu 0.000 0.000 0.000 1
Pd1 Pd 0.500 0.500 0.000 1
Pd2 Pd 0.500 0.500 0.332 1
Pd3 Pd 0.500 0.500 0.668 1
Pd4 Pd 0.500 0.000 0.162 1
Pd5 Pd 0.500 0.000 0.500 1
Pd6 Pd 0.500 0.000 0.838 1
Pd7 Pd 0.000 0.500 0.162 1
Pd8 Pd 0.000 0.500 0.500 1
Pd9 Pd 0.000 0.500 0.838 1
```

=====

A relaxed Zr2CuPd crystal. Source: Alexandria, functional PBE.

Summary:
The calculation puts the density at 7.369 g/cm³. The space group is No. 160. The value obtained for the total energy is -6.6906 eV per atom.

Structure (CIF):
```
data_Zr2CuPd
_chemical_formula_sum 'Zr2 Cu1 Pd1'
_symmetry_space_group_name_H-M 'P 1'
_symmetry_Int_Tables_number 1
_cell_length_a 4.322
_cell_length_b 4.323
_cell_length_c 5.505
_cell_angle_alpha 66.87
_cell_angle_beta 66.89
_cell_angle_gamma 60.01
loop_
_symmetry_equiv_pos_as_xyz
'x,y,z'
loop_
_atom_site_label
_atom_site_type_symbol
_atom_site_fract_x
_atom_site_fract_y
_atom_site_fract_z
_atom_site_occupancy
Zr1 Zr 0.903 0.666 0.529 1
Zr2 Zr 0.706 0.468 0.121 1
Cu1 Cu 0.110 0.873 0.906 1
Pd1 Pd 0.492 0.255 0.761 1
```

=====

A relaxed ZrCu4Pd crystal. Source: Alexandria, functional PBE.

Summary:
The calculation puts the density at 8.988 g/cm³. The space group is No. 216. The value obtained for the total energy is -5.3326 eV per atom.

Structure (CIF):
```
data_ZrCu4Pd
_chemical_formula_sum 'Zr1 Cu4 Pd1'
_symmetry_space_group_name_H-M 'P 1'
_symmetry_Int_Tables_number 1
_cell_length_a 4.906
_cell_length_b 4.906
_cell_length_c 4.906
_cell_angle_alpha 60.00
_cell_angle_beta 60.00
_cell_angle_gamma 60.00
loop_
_symmetry_equiv_pos_as_xyz
'x,y,z'
loop_
_atom_site_label
_atom_site_type_symbol
_atom_site_fract_x
_atom_site_fract_y
_atom_site_fract_z
_atom_site_occupancy
Cu1 Cu 0.626 0.626 0.123 1
Cu2 Cu 0.626 0.123 0.626 1
Cu3 Cu 0.626 0.626 0.626 1
Cu4 Cu 0.123 0.626 0.626 1
Zr1 Zr 0.250 0.250 0.250 1
Pd1 Pd 0.000 0.000 0.000 1
```

=====

A relaxed ZrCu2Pd2 crystal. Source: Alexandria, functional PBE.

Summary:
The calculation puts the density at 9.290 g/cm³. The space group is No. 127. The value obtained for the total energy is -5.7133 eV per atom. The value obtained for the energy relative to the lowest polymorph listed for this composition is 0.135 eV/atom.

Structure (CIF):
```
data_ZrCu2Pd2
_chemical_formula_sum 'Zr2 Cu4 Pd4'
_symmetry_space_group_name_H-M 'P 1'
_symmetry_Int_Tables_number 1
_cell_length_a 7.187
_cell_length_b 7.187
_cell_length_c 2.984
_cell_angle_alpha 90.00
_cell_angle_beta 90.00
_cell_angle_gamma 90.00
loop_
_symmetry_equiv_pos_as_xyz
'x,y,z'
loop_
_atom_site_label
_atom_site_type_symbol
_atom_site_fract_x
_atom_site_fract_y
_atom_site_fract_z
_atom_site_occupancy
Cu1 Cu 0.378 0.878 0.000 1
Cu2 Cu 0.878 0.622 0.000 1
Cu3 Cu 0.622 0.122 0.000 1
Cu4 Cu 0.122 0.378 0.000 1
Zr1 Zr 0.000 0.000 0.000 1
Zr2 Zr 0.500 0.500 0.000 1
Pd1 Pd 0.173 0.673 0.500 1
Pd2 Pd 0.673 0.827 0.500 1
Pd3 Pd 0.827 0.327 0.500 1
Pd4 Pd 0.327 0.173 0.500 1
```

=====

A relaxed ZrCu2Pd2 crystal. Source: Alexandria, functional PBE.

Summary:
The calculation puts the density at 9.198 g/cm³. The space group is No. 127. The value obtained for the total energy is -5.6793 eV per atom. The value obtained for the energy relative to the lowest polymorph listed for this composition is 0.169 eV/atom.

Structure (CIF):
```
data_ZrCu2Pd2
_chemical_formula_sum 'Zr2 Cu4 Pd4'
_symmetry_space_group_name_H-M 'P 1'
_symmetry_Int_Tables_number 1
_cell_length_a 7.309
_cell_length_b 7.309
_cell_length_c 2.914
_cell_angle_alpha 90.00
_cell_angle_beta 90.00
_cell_angle_gamma 90.00
loop_
_symmetry_equiv_pos_as_xyz
'x,y,z'
loop_
_atom_site_label
_atom_site_type_symbol
_atom_site_fract_x
_atom_site_fract_y
_atom_site_fract_z
_atom_site_occupancy
Cu1 Cu 0.158 0.658 0.500 1
Cu2 Cu 0.658 0.842 0.500 1
Cu3 Cu 0.842 0.342 0.500 1
Cu4 Cu 0.342 0.158 0.500 1
Zr1 Zr 0.000 0.000 0.000 1
Zr2 Zr 0.500 0.500 0.000 1
Pd1 Pd 0.363 0.863 0.000 1
Pd2 Pd 0.863 0.637 0.000 1
Pd3 Pd 0.637 0.137 0.000 1
Pd4 Pd 0.137 0.363 0.000 1
```

=====

A relaxed Zr3Cu4Pd2 crystal. Source: Alexandria, functional PBE.

Summary:
The calculation puts the density at 8.188 g/cm³. The space group is No. 2. The value obtained for the total energy is -6.1082 eV per atom.

Structure (CIF):
```
data_Zr3Cu4Pd2
_chemical_formula_sum 'Zr6 Cu8 Pd4'
_symmetry_space_group_name_H-M 'P 1'
_symmetry_Int_Tables_number 1
_cell_length_a 6.835
_cell_length_b 6.046
_cell_length_c 7.562
_cell_angle_alpha 84.63
_cell_angle_beta 89.37
_cell_angle_gamma 74.95
loop_
_symmetry_equiv_pos_as_xyz
'x,y,z'
loop_
_atom_site_label
_atom_site_type_symbol
_atom_site_fract_x
_atom_site_fract_y
_atom_site_fract_z
_atom_site_occupancy
Zr1 Zr 0.892 0.044 0.194 1
Zr2 Zr 0.682 0.783 0.907 1
Zr3 Zr 0.108 0.956 0.806 1
Zr4 Zr 0.318 0.217 0.093 1
Zr5 Zr 0.227 0.577 0.475 1
Zr6 Zr 0.773 0.423 0.525 1
Cu1 Cu 0.601 0.806 0.270 1
Cu2 Cu 0.273 0.763 0.122 1
Cu3 Cu 0.399 0.194 0.730 1
Cu4 Cu 0.727 0.237 0.878 1
Cu5 Cu 0.144 0.121 0.443 1
Cu6 Cu 0.401 0.546 0.852 1
Cu7 Cu 0.856 0.879 0.557 1
Cu8 Cu 0.599 0.454 0.148 1
Pd1 Pd 0.527 0.186 0.409 1
Pd2 Pd 0.029 0.474 0.799 1
Pd3 Pd 0.473 0.814 0.591 1
Pd4 Pd 0.971 0.526 0.201 1
```

=====

A relaxed Zr2Cu2Pd3 crystal. Source: Alexandria, functional PBE.

Summary:
The calculation puts the density at 9.185 g/cm³. The space group is No. 12. The value obtained for the total energy is -6.3560 eV per atom.

Structure (CIF):
```
data_Zr2Cu2Pd3
_chemical_formula_sum 'Zr2 Cu2 Pd3'
_symmetry_space_group_name_H-M 'P 1'
_symmetry_Int_Tables_number 1
_cell_length_a 3.936
_cell_length_b 4.980
_cell_length_c 6.334
_cell_angle_alpha 94.17
_cell_angle_beta 90.00
_cell_angle_gamma 113.28
loop_
_symmetry_equiv_pos_as_xyz
'x,y,z'
loop_
_atom_site_label
_atom_site_type_symbol
_atom_site_fract_x
_atom_site_fract_y
_atom_site_fract_z
_atom_site_occupancy
Zr1 Zr 0.584 0.168 0.729 1
Zr2 Zr 0.416 0.832 0.271 1
Cu1 Cu 0.865 0.730 0.572 1
Cu2 Cu 0.135 0.270 0.428 1
Pd1 Pd 0.000 0.000 0.000 1
Pd2 Pd 0.708 0.416 0.160 1
Pd3 Pd 0.292 0.584 0.840 1
```

=====

A relaxed Zr2CuPd crystal. Source: Alexandria, functional PBE.

Summary:
The calculation puts the density at 7.622 g/cm³. The space group is No. 122. The value obtained for the total energy is -6.5906 eV per atom.

Structure (CIF):
```
data_Zr2CuPd
_chemical_formula_sum 'Zr4 Cu2 Pd2'
_symmetry_space_group_name_H-M 'P 1'
_symmetry_Int_Tables_number 1
_cell_length_a 7.417
_cell_length_b 7.417
_cell_length_c 5.941
_cell_angle_alpha 51.38
_cell_angle_beta 51.38
_cell_angle_gamma 90.00
loop_
_symmetry_equiv_pos_as_xyz
'x,y,z'
loop_
_atom_site_label
_atom_site_type_symbol
_atom_site_fract_x
_atom_site_fract_y
_atom_site_fract_z
_atom_site_occupancy
Cu1 Cu 0.500 0.500 0.000 1
Cu2 Cu 0.250 0.750 0.500 1
Zr1 Zr 0.626 0.125 0.250 1
Zr2 Zr 0.124 0.625 0.250 1
Zr3 Zr 0.375 0.374 0.750 1
Zr4 Zr 0.875 0.876 0.750 1
Pd1 Pd 0.000 0.000 0.000 1
Pd2 Pd 0.750 0.250 0.500 1
```

=====

A relaxed Zr6CuPd crystal. Source: Alexandria, functional PBE.

Summary:
The calculation puts the density at 7.241 g/cm³. The space group is No. 2. The value obtained for the total energy is -7.7217 eV per atom.

Structure (CIF):
```
data_Zr6CuPd
_chemical_formula_sum 'Zr6 Cu1 Pd1'
_symmetry_space_group_name_H-M 'P 1'
_symmetry_Int_Tables_number 1
_cell_length_a 7.733
_cell_length_b 7.737
_cell_length_c 5.481
_cell_angle_alpha 45.05
_cell_angle_beta 45.14
_cell_angle_gamma 60.04
loop_
_symmetry_equiv_pos_as_xyz
'x,y,z'
loop_
_atom_site_label
_atom_site_type_symbol
_atom_site_fract_x
_atom_site_fract_y
_atom_site_fract_z
_atom_site_occupancy
Zr1 Zr 0.001 0.500 0.748 1
Zr2 Zr 0.751 0.001 0.749 1
Zr3 Zr 0.501 0.249 0.251 1
Zr4 Zr 0.249 0.999 0.251 1
Zr5 Zr 0.999 0.500 0.252 1
Zr6 Zr 0.499 0.751 0.749 1
Cu1 Cu 0.000 0.000 0.000 1
Pd1 Pd 0.500 0.500 0.500 1
```

=====

A relaxed ZrCu3Pd4 crystal. Source: Alexandria, functional PBE.

Summary:
The calculation puts the density at 9.823 g/cm³. The space group is No. 51. The value obtained for the total energy is -5.5631 eV per atom.

Structure (CIF):
```
data_ZrCu3Pd4
_chemical_formula_sum 'Zr2 Cu6 Pd8'
_symmetry_space_group_name_H-M 'P 1'
_symmetry_Int_Tables_number 1
_cell_length_a 4.635
_cell_length_b 5.766
_cell_length_c 8.952
_cell_angle_alpha 90.00
_cell_angle_beta 90.00
_cell_angle_gamma 90.00
loop_
_symmetry_equiv_pos_as_xyz
'x,y,z'
loop_
_atom_site_label
_atom_site_type_symbol
_atom_site_fract_x
_atom_site_fract_y
_atom_site_fract_z
_atom_site_occupancy
Pd1 Pd 0.500 0.759 0.000 1
Pd2 Pd 0.500 0.759 0.500 1
Pd3 Pd 0.500 0.241 0.000 1
Pd4 Pd 0.500 0.241 0.500 1
Pd5 Pd 0.113 0.761 0.750 1
Pd6 Pd 0.887 0.761 0.250 1
Pd7 Pd 0.887 0.239 0.250 1
Pd8 Pd 0.113 0.239 0.750 1
Cu1 Cu 0.000 0.000 0.000 1
Cu2 Cu 0.000 0.000 0.500 1
Cu3 Cu 0.622 0.000 0.750 1
Cu4 Cu 0.378 0.000 0.250 1
Cu5 Cu 0.594 0.500 0.750 1
Cu6 Cu 0.406 0.500 0.250 1
Zr1 Zr 0.000 0.500 0.000 1
Zr2 Zr 0.000 0.500 0.500 1
```